A relaxed structure of Sr2ScSb. Source: the Alexandria database, functional PBE.

Its total magnetization is 0.0 Bohr magnetons per cell. Its total energy is -3.85 eV/atom. The raw formation energy is -398 meV/atom. The density of states at the Fermi level comes out at 0.65 states/eV/atom.

The structure belongs to space group Imm2 (No. 44); the cell edges are 4.162, 5.620 and 12.257 Å and the angles 90.00°, 90.00° and 90.00°. The asymmetric unit holds Sr at (0.000, 0.000, 0.000), Sr at (0.000, 0.500, 0.205), Sc at (0.000, 0.500, 0.801) and Sb at (0.000, 0.000, 0.466).